# RePb

A relaxed RePb crystal (GGA-PBE, Alexandria via LeMat-Bulk).

The structure in POSCAR format:
```
RePb
1.0
0.000 2.842 2.842
2.842 0.000 2.842
2.842 2.842 0.000
Re Pb
1 1
Direct
0.000 0.000 0.000
0.500 0.500 0.500
```

ΔH_f (0 K) (eV per atom): 1.786
Symmetry: Fm-3m (225)
Crystal system: cubic

=====

# RePb

A relaxed RePb crystal (GGA-PBE, Alexandria via LeMat-Bulk).

The structure in POSCAR format:
```
RePb
1.0
3.966 0.000 0.000
0.000 3.966 0.000
0.000 0.000 2.815
Re Pb
1 1
Direct
0.000 0.000 0.000
0.500 0.500 0.000
```

ΔH_f (0 K) (eV per atom): 1.742
Symmetry: P4/mmm (123)
Crystal system: tetragonal

=====

no.,energy above the most stable polymorph in this dataset (meV per atom)
1,1402
2,1358